Here is a relaxed structure of LiBSe2N from Alexandria via LeMat-Bulk. Energies are from PBE.

Cell lengths 5.9264, 5.9264, 2.6189 Å; angles 90.00, 90.00, 90.00 degrees
Closest atoms and distances in Å follow each position.
Fractional positions:
1 Se 0.0000 0.5000 0.0000  2 Se 2.62
2 Se 0.5000 0.0000 0.0000  2 Se 2.62
3 Li 0.5000 0.5000 0.5000  2 Li 2.62
4 B 0.0000 0.0000 0.0000  2 N 1.31
5 N 0.0000 0.0000 0.5000  2 B 1.31

Mass density (Mg/m³): 3.424
Space-group type: No. 123
Raw formation energy (eV per atom): -0.131
Uncorrected energy (eV/atom): -4.9083


Here is a relaxed structure of Th3Tc2Sn3 from Alexandria via LeMat-Bulk. Energies are from PBE.

Cell lengths 4.8128, 5.2123, 8.6237 Å; angles 98.97, 106.20, 90.00 degrees
Closest atoms and distances in Å follow each position.
Fractional positions:
1 Th 0.1732 0.5919 0.3463  2 Tc 2.65-2.70
2 Th 0.0000 0.0000 0.0000  8 Sn 3.25-3.55, 2 Tc 3.42
3 Th 0.8268 0.4081 0.6537  2 Tc 2.65-2.70
4 Tc 0.2093 0.1159 0.4187  2 Th 2.65-2.70, 3 Sn 2.71-2.89
5 Tc 0.7907 0.8841 0.5813  2 Th 2.65-2.70, 3 Sn 2.71-2.89
6 Sn 0.5000 0.5000 0.0000  4 Sn 3.35-3.45, 8 Th 3.55-3.71
7 Sn 0.6336 0.0570 0.2672  3 Tc 2.71-2.89
8 Sn 0.3664 0.9430 0.7328  3 Tc 2.71-2.89

Mass density (Mg/m³): 10.112
Space-group type: No. 12
Energy relative to the elements (eV/f.u.): -3.380
Uncorrected energy (eV/atom): -7.2975


Here is a relaxed structure of TmZnCo2 from Alexandria via LeMat-Bulk. Energies are from PBE.

Cell lengths 4.6890, 5.2030, 11.6717 Å; angles 90.00, 90.00, 90.00 degrees
Closest atoms and distances in Å follow each position.
Fractional positions:
1 Zn 0.5000 0.7500 0.6792  2 Zn 2.35, 4 Co 2.46-2.50
2 Zn 0.0000 0.7500 0.6887  2 Zn 2.35, 2 Co 2.44
3 Zn 0.0000 0.2500 0.3113  2 Zn 2.35, 2 Co 2.44
4 Zn 0.5000 0.2500 0.3208  2 Zn 2.35, 4 Co 2.46-2.50
5 Co 0.7403 0.7500 0.8700  4 Co 2.25-2.44, 2 Zn 2.44-2.50
6 Co 0.5000 0.5000 0.5000  2 Zn 2.46, 2 Co 2.60
7 Co 0.0000 0.5000 0.0000  6 Co 2.34-2.60
8 Co 0.0000 0.0000 0.0000  6 Co 2.34-2.60
9 Co 0.2597 0.2500 0.1300  4 Co 2.25-2.44, 2 Zn 2.44-2.50
10 Co 0.2597 0.7500 0.8700  4 Co 2.25-2.44, 2 Zn 2.44-2.50
11 Co 0.5000 0.0000 0.5000  2 Zn 2.46, 2 Co 2.60
12 Co 0.7403 0.2500 0.1300  4 Co 2.25-2.44, 2 Zn 2.44-2.50
13 Tm 0.0000 0.7500 0.4098  2 Zn 2.84, 4 Co 2.88
14 Tm 0.5000 0.7500 0.1056  10 Co 2.85-2.97
15 Tm 0.0000 0.2500 0.5902  2 Zn 2.84, 4 Co 2.88
16 Tm 0.5000 0.2500 0.8944  10 Co 2.85-2.97

Mass density (Mg/m³): 8.216
Space-group type: No. 51
Energy relative to the elements (eV/f.u.): 0.233
Uncorrected energy (eV/atom): -4.9311


Here is a relaxed structure of Ca2ThCd from Alexandria via LeMat-Bulk. Energies are from PBE.

Cell lengths 3.5330, 3.5330, 12.4091 Å; angles 81.82, 81.82, 60.00 degrees
Closest atoms and distances in Å follow each position.
Fractional positions:
1 Ca 0.0957 0.0957 0.7129  3 Cd 3.31, 1 Th 3.51, 6 Ca 3.53
2 Ca 0.9043 0.9043 0.2871  3 Cd 3.31, 1 Th 3.51, 6 Ca 3.53
3 Th 0.0000 0.0000 0.0000  2 Ca 3.51, 6 Th 3.53
4 Cd 0.5000 0.5000 0.5000  6 Ca 3.31, 6 Cd 3.53

Mass density (Mg/m³): 5.329
Space-group type: No. 166
Energy relative to the elements (eV/f.u.): 0.642
Uncorrected energy (eV/atom): -2.9241


Here is a relaxed structure of LaSc2Ir from Alexandria via LeMat-Bulk. Energies are from PBE.

Cell lengths 5.9956, 5.9956, 5.0540 Å; angles 65.18, 65.18, 35.17 degrees
Closest atoms and distances in Å follow each position.
Fractional positions:
1 Sc 0.8044 0.8044 0.6940  2 Ir 2.62
2 Sc 0.9987 0.9987 0.9987  4 Ir 3.08-3.14, 2 Sc 3.21-3.23, 2 La 3.31-3.32
3 Ir 0.4889 0.4889 0.5165  2 Sc 2.62, 2 La 2.89
4 La 0.2080 0.2080 0.2908  2 Ir 2.89

Mass density (Mg/m³): 7.442
Space-group type: No. 8
Energy relative to the elements (eV/f.u.): -1.637
Uncorrected energy (eV/atom): -7.0221


Here is a relaxed structure of TaTlMo from Alexandria via LeMat-Bulk. Energies are from PBE.

Cell lengths 4.7215, 4.7215, 2.9176 Å; angles 90.00, 90.00, 120.00 degrees
Closest atoms and distances in Å follow each position.
Fractional positions:
1 Mo 0.0000 0.0000 0.0355  3 Ta 2.82, 2 Mo 2.92, 3 Tl 2.92
2 Tl 0.6667 0.3333 0.6753  2 Tl 2.92, 3 Mo 2.92, 6 Ta 2.95-3.26
3 Ta 0.3333 0.6667 0.2892  3 Mo 2.82, 2 Ta 2.92, 3 Tl 2.95

Mass density (Mg/m³): 14.188
Space-group type: No. 156
Energy relative to the elements (eV/f.u.): 1.469
Uncorrected energy (eV/atom): -7.8604